Entry 1:
# SnGeRh PBE relaxed
# final energy = -0.202 hartree per atom
# M_tot = 0.00 μB/f.u.
# excess energy over the best structure of this formula in the dataset = 0.150 eV/atom
# ΔE_f = -17.1 kJ per mole of atoms
data_SnGeRh
_space_group_name_H-M_alt 'I 4 m m'
_space_group_IT_number 107
_space_group_name_Hall 'I 4 -2'
_cell_length_a 3.097
_cell_length_b 3.097
_cell_length_c 11.839
_cell_angle_alpha 90.00
_cell_angle_beta 90.00
_cell_angle_gamma 90.00
loop_
_atom_site_label
_atom_site_type_symbol
_atom_site_fract_x
_atom_site_fract_y
_atom_site_fract_z
_atom_site_occupancy
Sn1 Sn 0.000 0.000 0.000 1
Ge1 Ge 0.000 0.000 0.718 1
Rh1 Rh 0.000 0.000 0.339 1

---

Entry 2:
# SnTeAu4 PBE relaxed
# final energy = -0.123 hartree per atom
# raw formation energy = 20 meV per atom
# M_tot = 0.00 μB/f.u.
data_SnTeAu4
_space_group_name_H-M_alt 'F -4 3 m'
_space_group_IT_number 216
_space_group_name_Hall 'F -4 2 3'
_cell_length_a 8.042
_cell_length_b 8.042
_cell_length_c 8.042
_cell_angle_alpha 90.00
_cell_angle_beta 90.00
_cell_angle_gamma 90.00
loop_
_atom_site_label
_atom_site_type_symbol
_atom_site_fract_x
_atom_site_fract_y
_atom_site_fract_z
_atom_site_occupancy
Sn1 Sn 0.000 0.000 0.000 1
Te1 Te 0.250 0.250 0.250 1
Au1 Au 0.125 0.125 0.625 1

---

Entry 3:
# LiMg2H2 PBE relaxed
# final energy = -0.085 hartree per atom
# M_tot = 0.00 μB/f.u.
data_LiMg2H2
_space_group_name_H-M_alt 'P 4/m b m'
_space_group_IT_number 127
_space_group_name_Hall '-P 4 2ab'
_cell_length_a 5.946
_cell_length_b 5.946
_cell_length_c 4.011
_cell_angle_alpha 90.00
_cell_angle_beta 90.00
_cell_angle_gamma 90.00
loop_
_atom_site_label
_atom_site_type_symbol
_atom_site_fract_x
_atom_site_fract_y
_atom_site_fract_z
_atom_site_occupancy
Li1 Li 0.000 0.000 0.000 1
Mg1 Mg 0.183 0.317 0.500 1
H1 H 0.233 0.267 0.000 1

---

Look up the final energy of the third one. -0.085 hartree per atom